[1]
A plane-wave DFT calculation with GGA-PBEsol was carried out for a relaxed CaCd2 crystal.

Values from the calculation:
E_form in eV per atom: -0.280
Magnetic moment in μB per cell: 0.00
DOS(E_F) in states/eV per cell: 1.29

Unit cell a=6.113 b=6.113 c=6.113 alpha=145.49 beta=145.49 gamma=49.60
Atoms (fractional coordinates):
Ca (0.000, 0.000, 0.000)
Cd (0.318, 0.318, 0.000)
Cd (0.682, 0.682, 0.000)

[2]
A plane-wave DFT calculation with GGA-PBEsol was carried out for a relaxed LaMg2W crystal.

Values from the calculation:
E_form in eV per atom: 0.606
Magnetic moment in μB per cell: 0.00
DOS(E_F) in states/eV per cell: 4.09
Relative energy among the computed polymorphs in kJ/mol of formula units: 0

Unit cell a=5.999 b=5.999 c=2.948 alpha=98.05 beta=98.05 gamma=122.61
Atoms (fractional coordinates):
La (0.000, 0.000, 0.000)
Mg (0.000, 0.500, 0.500)
Mg (0.500, 0.000, 0.500)
W (0.500, 0.500, 0.000)

[3]
A plane-wave DFT calculation with GGA-PBEsol was carried out for a relaxed Nd3CuGeS7 crystal.

Values from the calculation:
Calculated total energy in eV/f.u.: -73.65
Magnetic moment in μB per cell: 0.00
DOS(E_F) in states/eV per cell: 0.00

Unit cell a=10.060 b=10.060 c=5.755 alpha=90.00 beta=90.00 gamma=120.00
Atoms (fractional coordinates):
Nd (0.128, 0.771, 0.000)
Nd (0.229, 0.357, 0.000)
Nd (0.357, 0.128, 0.500)
Nd (0.643, 0.872, 0.000)
Nd (0.771, 0.643, 0.500)
Nd (0.872, 0.229, 0.500)
Cu (0.000, 0.000, 0.024)
Cu (0.000, 0.000, 0.524)
Ge (0.333, 0.667, 0.419)
Ge (0.667, 0.333, 0.919)
S (0.091, 0.838, 0.514)
S (0.102, 0.519, 0.264)
S (0.162, 0.253, 0.514)
S (0.253, 0.091, 0.014)
S (0.333, 0.667, 0.798)
S (0.418, 0.898, 0.264)
S (0.481, 0.582, 0.264)
S (0.519, 0.418, 0.764)
S (0.582, 0.102, 0.764)
S (0.667, 0.333, 0.298)
S (0.747, 0.909, 0.514)
S (0.838, 0.747, 0.014)
S (0.898, 0.481, 0.764)
S (0.909, 0.162, 0.014)

[4]
A plane-wave DFT calculation with GGA-PBEsol was carried out for a relaxed RbNa3Sb crystal.

Values from the calculation:
Calculated total energy in eV/f.u.: -6.94
Magnetic moment in μB per cell: 0.00
DOS(E_F) in states/eV per cell: 2.19

Unit cell a=5.805 b=5.805 c=5.805 alpha=90.00 beta=90.00 gamma=90.00
Atoms (fractional coordinates):
Rb (0.000, 0.000, 0.000)
Na (0.000, 0.000, 0.500)
Na (0.000, 0.500, 0.000)
Na (0.500, 0.000, 0.000)
Sb (0.500, 0.500, 0.500)

[5]
A plane-wave DFT calculation with GGA-PBEsol was carried out for a relaxed CoHg2Se crystal.

Values from the calculation:
Calculated total energy in eV/f.u.: -10.81
Magnetic moment in μB per cell: 1.28
DOS(E_F) in states/eV per cell: 5.40

Unit cell a=5.135 b=5.135 c=5.135 alpha=132.38 beta=132.38 gamma=69.64
Atoms (fractional coordinates):
Co (0.000, 0.000, 0.000)
Hg (0.500, 0.500, 0.000)
Hg (0.750, 0.250, 0.500)
Se (0.250, 0.750, 0.500)

[6]
A plane-wave DFT calculation with GGA-PBEsol was carried out for a relaxed Hf2TiMo crystal.

Values from the calculation:
E_form in eV per atom: 0.049
Magnetic moment in μB per cell: 1.61
DOS(E_F) in states/eV per cell: 6.94

Unit cell a=4.693 b=4.693 c=4.693 alpha=60.00 beta=60.00 gamma=60.00
Atoms (fractional coordinates):
Hf (0.250, 0.250, 0.250)
Hf (0.750, 0.750, 0.750)
Ti (0.000, 0.000, 0.000)
Mo (0.500, 0.500, 0.500)

[7]
A plane-wave DFT calculation with GGA-PBEsol was carried out for a relaxed CaTlCr2 crystal.

Values from the calculation:
E_form in eV per atom: 0.325
Magnetic moment in μB per cell: 0.66
DOS(E_F) in states/eV per cell: 2.09
Relative energy among the computed polymorphs in kJ/mol of formula units: 0

Unit cell a=3.177 b=3.177 c=7.501 alpha=90.00 beta=90.00 gamma=90.00
Atoms (fractional coordinates):
Ca (0.000, 0.000, 0.000)
Tl (0.500, 0.500, 0.686)
Cr (0.000, 0.000, 0.427)
Cr (0.500, 0.500, 0.306)

[8]
A plane-wave DFT calculation with GGA-PBEsol was carried out for a relaxed Bi crystal.

Values from the calculation:
E_form in eV per atom: 0.017
Magnetic moment in μB per cell: 0.00
DOS(E_F) in states/eV per cell: 1.10
Relative energy among the computed polymorphs in kJ/mol of formula units: 2

Unit cell a=4.718 b=4.718 c=3.309 alpha=110.28 beta=110.28 gamma=83.27
Atoms (fractional coordinates):
Bi (0.250, 0.250, 0.117)
Bi (0.750, 0.750, 0.883)

[9]
A plane-wave DFT calculation with GGA-PBEsol was carried out for a relaxed Zr6Al16Rh7 crystal.

Values from the calculation:
E_form in eV per atom: -0.835
Magnetic moment in μB per cell: 0.00
DOS(E_F) in states/eV per cell: 19.05

Unit cell a=8.643 b=8.643 c=8.643 alpha=60.00 beta=60.00 gamma=60.00
Atoms (fractional coordinates):
Zr (0.189, 0.189, 0.811)
Zr (0.189, 0.811, 0.189)
Zr (0.189, 0.811, 0.811)
Zr (0.811, 0.189, 0.189)
Zr (0.811, 0.189, 0.811)
Zr (0.811, 0.811, 0.189)
Al (0.141, 0.620, 0.620)
Al (0.163, 0.163, 0.163)
Al (0.163, 0.163, 0.512)
Al (0.163, 0.512, 0.163)
Al (0.380, 0.380, 0.380)
Al (0.380, 0.380, 0.859)
Al (0.380, 0.859, 0.380)
Al (0.488, 0.837, 0.837)
Al (0.512, 0.163, 0.163)
Al (0.620, 0.141, 0.620)
Al (0.620, 0.620, 0.141)
Al (0.620, 0.620, 0.620)
Al (0.837, 0.488, 0.837)
Al (0.837, 0.837, 0.488)
Al (0.837, 0.837, 0.837)
Al (0.859, 0.380, 0.380)
Rh (0.000, 0.000, 0.500)
Rh (0.000, 0.500, 0.000)
Rh (0.000, 0.500, 0.500)
Rh (0.500, 0.000, 0.000)
Rh (0.500, 0.000, 0.500)
Rh (0.500, 0.500, 0.000)
Rh (0.500, 0.500, 0.500)

[10]
A plane-wave DFT calculation with GGA-PBEsol was carried out for a relaxed TiCuN3 crystal.

Values from the calculation:
Calculated total energy in eV/f.u.: -33.76
Magnetic moment in μB per cell: 0.54
DOS(E_F) in states/eV per cell: 4.10

Unit cell a=3.878 b=3.878 c=3.878 alpha=90.00 beta=90.00 gamma=90.00
Atoms (fractional coordinates):
Ti (0.000, 0.000, 0.000)
Cu (0.500, 0.500, 0.500)
N (0.000, 0.000, 0.500)
N (0.000, 0.500, 0.000)
N (0.500, 0.000, 0.000)

[11]
A plane-wave DFT calculation with GGA-PBEsol was carried out for a relaxed BaSrS2 crystal.

Values from the calculation:
Magnetic moment in μB per cell: 0.00
DOS(E_F) in states/eV per cell: 0.00
Relative energy among the computed polymorphs in kJ/mol of formula units: 28

Unit cell a=8.255 b=8.255 c=8.255 alpha=131.25 beta=131.25 gamma=71.42
Atoms (fractional coordinates):
Ba (0.000, 0.000, 0.000)
Ba (0.750, 0.250, 0.500)
Sr (0.250, 0.750, 0.500)
Sr (0.500, 0.500, 0.000)
S (0.145, 0.625, 0.020)
S (0.375, 0.395, 0.520)
S (0.605, 0.125, 0.980)
S (0.875, 0.855, 0.480)

[12]
A plane-wave DFT calculation with GGA-PBEsol was carried out for a relaxed Li3V2Ge2O10 crystal.

Values from the calculation:
Calculated total energy in eV/f.u.: -122.83
Magnetic moment in μB per cell: 2.00
DOS(E_F) in states/eV per cell: 12.29

Unit cell a=6.461 b=6.461 c=9.049 alpha=90.00 beta=90.00 gamma=90.36
Atoms (fractional coordinates):
Li (0.000, 0.000, 0.000)
Li (0.000, 0.500, 0.000)
Li (0.000, 0.500, 0.500)
Li (0.500, 0.000, 0.000)
Li (0.500, 0.000, 0.500)
Li (0.500, 0.500, 0.500)
V (0.241, 0.759, 0.696)
V (0.259, 0.741, 0.196)
V (0.741, 0.259, 0.804)
V (0.759, 0.241, 0.304)
Ge (0.249, 0.251, 0.750)
Ge (0.251, 0.249, 0.250)
Ge (0.749, 0.751, 0.750)
Ge (0.751, 0.749, 0.250)
O (0.031, 0.248, 0.866)
O (0.034, 0.260, 0.366)
O (0.231, 0.769, 0.875)
O (0.240, 0.466, 0.134)
O (0.248, 0.031, 0.134)
O (0.252, 0.469, 0.634)
O (0.260, 0.034, 0.634)
O (0.269, 0.731, 0.375)
O (0.466, 0.240, 0.866)
O (0.469, 0.252, 0.366)
O (0.531, 0.748, 0.634)
O (0.534, 0.760, 0.134)
O (0.731, 0.269, 0.625)
O (0.740, 0.966, 0.366)
O (0.748, 0.531, 0.366)
O (0.752, 0.969, 0.866)
O (0.760, 0.534, 0.866)
O (0.769, 0.231, 0.125)
O (0.966, 0.740, 0.634)
O (0.969, 0.752, 0.134)

Number 3 is which compound? Nd3CuGeS7

Among the records above, which one has the highest magnetic moment? Li3V2Ge2O10